Density functional theory data (PBE) for a relaxed structure of GdDy3C2Se2.

The calculated total energy comes out at -6.62 eV/atom. The calculated density is 8.4 g/cm³.

a b c (Å): 3.7694 3.7694 13.3221
angles (deg): 90.00 90.00 120.00
Space group P3m1 (No. 156)
Inequivalent atoms, fractional coordinates:
Gd 0.0000 0.0000 0.0000 (multiplicity 1)
Dy 0.0000 0.0000 0.3000 (multiplicity 1)
Dy 0.3333 0.6667 0.4996 (multiplicity 1)
Dy 0.3333 0.6667 0.7980 (multiplicity 1)
C 0.6667 0.3333 0.4000 (multiplicity 1)
C 0.6667 0.3333 0.8981 (multiplicity 1)
Se 0.0000 0.0000 0.6493 (multiplicity 1)
Se 0.3333 0.6667 0.1519 (multiplicity 1)